Compound: Hf3TcNi
Source: Alexandria via LeMat-Bulk
Functional: PBE
Structure: relaxed

The structure belongs to space group Pm-3m (No. 221); the cell edges are 4.7017, 4.7017 and 4.7017 Å and the angles 90.00°, 90.00° and 90.00°. The distinct sites, in fractional coordinates, are Hf at (0.0000, 0.0000, 0.5000), Tc at (0.5000, 0.5000, 0.5000) and Ni at (0.0000, 0.0000, 0.0000).

As for the calculated density: 11.06 g/cm3. The calculation puts the energy of formation at 0.5189 eV/atom. The calculation puts the excess energy over the best structure of this formula in the dataset at 0 meV per atom.